9
Lattice="-0.1350 0.4059 3.4358 -9.2029 -6.7538 2.1808 -1.1525 -9.5082 2.8225" Properties=species:S:1:pos:R:3 comment="Sm5Ho2Sc2 (PBE, relaxed)" e_above_lowest_polymorph_ev_per_atom=0.000 ef_mev_per_atom=119 pbc="T T T"
Sm -9.4815 -9.7507 4.2685
Sm -1.0089 -6.1054 4.1707
Sm -3.5140 -4.2841 2.1126
Sm -6.9763 -11.5720 6.3266
Sm 0.0000 0.0000 0.0000
Ho -3.7520 -7.5142 2.4848
Ho -6.7383 -8.3419 5.9543
Sc -4.2620 -10.2341 4.5306
Sc -6.2283 -5.6220 3.9085

4
Lattice="-4.1922 2.3465 1.3328 -0.2006 -3.7220 -3.3330 2.3096 -2.9891 3.2761" Properties=species:S:1:pos:R:3 comment="HoHg2Au (PBE, relaxed)" e_above_lowest_polymorph_ev_per_atom=0.000 ef_mev_per_atom=-442 pbc="T T T"
Ho 0.4235 -2.1775 0.5580
Hg 1.4786 -5.5334 0.5306
Hg -1.0445 -0.8212 2.8778
Au -2.3003 -1.1872 -0.4286

| no. | raw total energy (eV per atom) |
| --- | --- |
| 1 | -4.927 |
| 2 | -2.557 |